# 1
A geometry-optimized TaGa2Ir2 structure, computed with PBE-GGA.

POSCAR file:
```
TaGa2Ir2
1.0
2.9357 0.0000 0.0000
0.0000 2.8266 0.5356
0.0000 -0.3603 9.6285
Ir Ga Ta
2 2 1
direct
0.5000 0.4005 0.1990
0.5000 0.5995 0.8010
0.0000 0.8124 0.3752
0.0000 0.1876 0.6248
0.0000 0.0000 0.0000
```

## Properties
Crystal system ... orthorhombic
Fermi-level density of states ... 2.95 states/eV per cell
Magnetic moment ... 0.0 μB per cell
V ... 16.1 Å³ per atom
E above lowest polymorph ... 0 meV per atom
Formation energy ... -431 meV/atom

---

# 2
A geometry-optimized La2Pr7Nd structure, computed with PBE-GGA.

POSCAR file:
```
La2Pr7Nd
1.0
-1.7244 -3.0877 0.2917
12.8197 -6.6764 5.1106
-13.2302 7.5515 1.7254
Pr La Nd
7 2 1
direct
0.0000 0.1900 0.8100
0.5000 0.5000 0.5000
0.5000 0.8541 0.6553
0.5000 0.3447 0.1459
0.5000 0.1459 0.3447
0.5000 0.6553 0.8541
0.0000 0.8100 0.1900
0.5000 0.2965 0.7035
0.5000 0.7035 0.2965
0.0000 0.0000 0.0000
```

## Properties
Crystal system ... orthorhombic
Fermi-level density of states ... 16.93 states/eV per cell
Magnetic moment ... 0.0 μB per cell
V ... 36.6 Å³ per atom
E above lowest polymorph ... 123 meV per atom
Formation energy ... 136 meV/atom

---

# 3
A geometry-optimized Ho8Er4Th structure, computed with PBE-GGA.

POSCAR file:
```
Ho8Er4Th
1.0
6.0106 -0.0004 -3.2427
-3.8798 5.6204 -0.0005
2.0268 1.4000 10.9483
Er Th Ho
4 1 8
direct
0.0000 0.5000 0.0000
0.0000 0.0000 0.0000
0.5000 0.0000 0.0000
0.5000 0.5000 0.0000
0.0000 0.5000 0.5000
0.9868 0.7492 0.7360
0.0132 0.2508 0.2640
0.4013 0.2007 0.6020
0.0132 0.7624 0.2640
0.5016 0.2508 0.2640
0.5987 0.7993 0.3980
0.4984 0.7492 0.7360
0.9868 0.2376 0.7360
```

## Properties
Crystal system ... trigonal
Fermi-level density of states ... 15.92 states/eV per cell
Magnetic moment ... 0.0 μB per cell
V ... 32.6 Å³ per atom
Formation energy ... 287 meV/atom

---

Question: The highest V belongs to which entry?
Answer: La2Pr7Nd

---

Question: Which value of Fermi-level density of states does entry 1 give?
Answer: 2.95 states/eV per cell

---

Question: V of number 3 (Ho8Er4Th)?
Answer: 32.6 Å³ per atom

---

Question: Which value of formation energy does entry 3 give?
Answer: 287 meV/atom